Arrangement 1

NaNiTe2N | Alexandria | GGA-PBE | optimized geometry; SG = P4/mmm, No. 123; DOS(E_F) = 7.301 states/eV/cell
1.0
-1.8066 5.0980 -0.8147
-4.9314 -1.4486 1.8708
1.1571 1.0242 3.8432
Te N Na Ni
2 1 1 1
Direct
0.5000 0.0000 0.0000
0.0000 0.5000 0.0000
0.0000 0.0000 0.5000
0.0000 0.0000 0.0000
0.5000 0.5000 0.5000

Arrangement 2

NaNiTe2N | Alexandria | GGA-PBE | optimized geometry; SG = P4/mmm, No. 123; DOS(E_F) = 2.854 states/eV/cell
1.0
5.6619 0.0000 0.0000
0.0000 5.6619 0.0000
0.0000 0.0000 3.3838
N Ni Te Na
1 1 2 1
Direct
0.0000 0.0000 0.5000
0.0000 0.0000 0.0000
0.5000 0.0000 0.0000
0.0000 0.5000 0.0000
0.5000 0.5000 0.5000

List of relative energies, unit meV per atom: arrangement 1 1467; arrangement 2 0

Arrangement 1

NaNiTeN2 | Alexandria | GGA-PBE | optimized geometry; SG = P4/mmm, No. 123; DOS(E_F) = 5.841 states/eV/cell
1.0
3.8601 0.0000 0.0000
0.0000 3.8601 0.0000
0.0000 0.0000 5.3502
N Ni Te Na
2 1 1 1
Direct
0.5000 0.0000 0.0000
0.0000 0.5000 0.0000
0.0000 0.0000 0.0000
0.0000 0.0000 0.5000
0.5000 0.5000 0.5000

Arrangement 2

NaNiTeN2 | Alexandria | GGA-PBE | optimized geometry; SG = P4/mmm, No. 123; DOS(E_F) = 7.121 states/eV/cell
1.0
-2.8668 -2.1863 -2.1925
-1.0031 -2.1710 3.4764
-4.3226 4.2544 1.4096
Ni Na Te N
1 1 1 2
Direct
0.5000 0.5000 0.5000
0.0000 0.0000 0.0000
0.0000 0.0000 0.5000
0.0000 0.5000 0.0000
0.5000 0.0000 0.0000

List of relative energies, unit meV per atom: arrangement 1 0; arrangement 2 1021

Arrangement 1

NaSe2NO | Alexandria | GGA-PBE | optimized geometry; SG = P4/mmm, No. 123; DOS(E_F) = 2.976 states/eV/cell
1.0
-2.5124 -1.8996 3.0968
-2.1631 -2.2430 -3.1307
2.9725 -3.3577 0.3519
Se O N Na
2 1 1 1
Direct
0.0000 0.5000 0.0000
0.5000 0.0000 0.0000
0.0000 0.0000 0.0000
0.0000 0.0000 0.5000
0.5000 0.5000 0.5000

Arrangement 2

NaSe2NO | Alexandria | GGA-PBE | optimized geometry; SG = P4/mmm, No. 123; DOS(E_F) = 4.097 states/eV/cell
1.0
-3.5507 -0.2921 -4.2799
-2.2812 -4.5765 2.2049
-3.0272 2.6324 2.3317
Se O Na N
2 1 1 1
Direct
0.5000 0.0000 0.0000
0.0000 0.5000 0.0000
0.5000 0.5000 0.5000
0.0000 0.0000 0.0000
0.0000 0.0000 0.5000

List of relative energies, unit meV per atom: arrangement 1 0; arrangement 2 957

Arrangement 1

Na3OsN | Alexandria | GGA-PBE | optimized geometry; SG = Pm-3m, No. 221; DOS(E_F) = 8.206 states/eV/cell
1.0
-1.8931 -5.1590 1.3916
5.0366 -1.2297 2.2927
-1.7846 2.0020 4.9943
Os Na N
1 3 1
Direct
0.0000 0.0000 0.0000
0.5000 0.0000 0.0000
0.0000 0.5000 0.0000
0.0000 0.0000 0.5000
0.5000 0.5000 0.5000

Arrangement 2

Na3OsN | Alexandria | GGA-PBE | optimized geometry; SG = Pm-3m, No. 221; DOS(E_F) = 4.543 states/eV/cell
1.0
4.6994 0.0000 0.0000
0.0000 4.6994 0.0000
0.0000 0.0000 4.6994
Os Na N
1 3 1
Direct
0.5000 0.5000 0.5000
0.0000 0.5000 0.0000
0.0000 0.0000 0.5000
0.5000 0.0000 0.0000
0.0000 0.0000 0.0000

List of relative energies, unit meV per atom: arrangement 1 704; arrangement 2 0

Arrangement 1

NaOsN2 | Alexandria | GGA-PBE | optimized geometry; SG = R-3m, No. 166; DOS(E_F) = 3.090 states/eV/cell
1.0
1.7913 0.0000 6.5041
-0.8957 1.5513 6.5041
-0.8957 -1.5513 6.5041
N Os Na
2 1 1
Direct
0.1142 0.1142 0.1142
0.8858 0.8858 0.8858
0.5000 0.5000 0.5000
0.0000 0.0000 0.0000

Arrangement 2

NaOsN2 | Alexandria | GGA-PBE | optimized geometry; SG = Fm-3m, No. 225; DOS(E_F) = 4.351 states/eV/cell
1.0
0.6440 1.3480 3.4397
1.5256 3.3991 0.4266
-2.0717 2.8326 1.3221
Na Os N
1 1 2
Direct
0.0000 0.0000 0.0000
0.5000 0.5000 0.5000
0.7500 0.7500 0.7500
0.2500 0.2500 0.2500

Arrangement 3

NaOsN2 | Alexandria | GGA-PBE | optimized geometry; SG = I-42d, No. 122; DOS(E_F) = 2.357 states/eV/cell
1.0
5.1155 0.0000 0.0000
0.0000 5.1155 0.0000
2.5578 2.5578 4.6136
Os N Na
2 4 2
Direct
0.0000 0.0000 0.0000
0.7500 0.2500 0.5000
0.3750 0.2794 0.7500
0.0294 0.6250 0.2500
0.7206 0.1250 0.2500
0.8750 0.9706 0.7500
0.2500 0.7500 0.5000
0.5000 0.5000 0.0000

List of relative energies, unit meV per atom: arrangement 1 440; arrangement 2 933; arrangement 3 0

Arrangement 1

NaOsSe2N | Alexandria | GGA-PBE | optimized geometry; SG = P4/mmm, No. 123; DOS(E_F) = 4.556 states/eV/cell
1.0
5.0262 0.0000 0.0000
0.0000 5.0262 0.0000
0.0000 0.0000 3.9363
Se Os Na N
2 1 1 1
Direct
0.0000 0.5000 0.0000
0.5000 0.0000 0.0000
0.5000 0.5000 0.5000
0.0000 0.0000 0.0000
0.0000 0.0000 0.5000

Arrangement 2

NaOsSe2N | Alexandria | GGA-PBE | optimized geometry; SG = P4/mmm, No. 123; DOS(E_F) = 3.673 states/eV/cell
1.0
-0.9362 -4.2122 2.9484
5.1020 -1.1320 0.0029
0.4495 2.0338 3.0483
Se Os Na N
2 1 1 1
Direct
0.0000 0.5000 0.0000
0.5000 0.0000 0.0000
0.0000 0.0000 0.0000
0.5000 0.5000 0.5000
0.0000 0.0000 0.5000

List of relative energies, unit meV per atom: arrangement 1 2063; arrangement 2 0

Arrangement 1

NaTeOsN2 | Alexandria | GGA-PBE | optimized geometry; SG = P4/mmm, No. 123; DOS(E_F) = 2.620 states/eV/cell
1.0
-2.4398 -2.1614 -2.1235
2.9195 -2.4065 -0.9050
-1.2070 -3.2172 4.6614
N Te Na Os
2 1 1 1
Direct
0.5000 0.0000 0.0000
0.0000 0.5000 0.0000
0.0000 0.0000 0.5000
0.5000 0.5000 0.5000
0.0000 0.0000 0.0000

Arrangement 2

NaTeOsN2 | Alexandria | GGA-PBE | optimized geometry; SG = P4/mmm, No. 123; DOS(E_F) = 5.117 states/eV/cell
1.0
4.0196 0.0000 0.0000
0.0000 4.0196 0.0000
0.0000 0.0000 5.2390
Os N Na Te
1 2 1 1
Direct
0.5000 0.5000 0.5000
0.5000 0.0000 0.0000
0.0000 0.5000 0.0000
0.0000 0.0000 0.0000
0.0000 0.0000 0.5000

List of relative energies, unit meV per atom: arrangement 1 0; arrangement 2 2400

Arrangement 1

Na2PN2 | Alexandria | GGA-PBE | optimized geometry; SG = C2/m, No. 12; DOS(E_F) = 2.807 states/eV/cell
1.0
-1.8530 1.0129 4.5769
-1.5616 -4.8990 3.2275
4.0726 -1.4412 4.7434
N P Na
4 2 4
Direct
0.5162 0.8024 0.1652
0.7949 0.7453 0.6649
0.2051 0.2547 0.3351
0.4838 0.1976 0.8348
0.3714 0.1202 0.1369
0.6286 0.8798 0.8631
0.3201 0.7307 0.6291
0.6799 0.2693 0.3709
0.9797 0.2895 0.7512
0.0203 0.7105 0.2488

Arrangement 2

Na2PN2 | Alexandria | GGA-PBE | optimized geometry; SG = Cmc2_1, No. 36; DOS(E_F) = 4.186 states/eV/cell
1.0
2.9025 0.0000 0.0000
0.0000 7.9222 0.0000
-1.4513 0.0000 6.1648
Na N P
4 4 2
Direct
0.9445 0.7306 0.8889
0.1601 0.8921 0.3202
0.0555 0.2306 0.1111
0.8399 0.3921 0.6798
0.5140 0.9801 0.0280
0.8160 0.9921 0.6320
0.4860 0.4801 0.9720
0.1840 0.4921 0.3680
0.6081 0.5395 0.2161
0.3919 0.0395 0.7839

List of relative energies, unit meV per atom: arrangement 1 0; arrangement 2 47

Arrangement 1

Na2PN | Alexandria | GGA-PBE | optimized geometry; SG = Fm-3m, No. 225; DOS(E_F) = 2.455 states/eV/cell
1.0
0.0000 3.1854 3.1854
3.1854 0.0000 3.1854
3.1854 3.1854 0.0000
Na P N
2 1 1
Direct
0.2500 0.2500 0.2500
0.7500 0.7500 0.7500
0.5000 0.5000 0.5000
0.0000 0.0000 0.0000

Arrangement 2

Na2PN | Alexandria | GGA-PBE | optimized geometry; SG = I-42d, No. 122; DOS(E_F) = 4.974 states/eV/cell
1.0
-3.7616 -0.6423 9.0886
8.2224 -4.4754 3.0868
2.9485 -0.9564 6.4982
P N Na
2 2 4
Direct
0.7500 0.2500 0.5000
0.0000 0.0000 0.0000
0.2500 0.7500 0.5000
0.5000 0.5000 0.0000
0.4171 0.1250 0.2500
0.3750 0.5829 0.7500
0.3329 0.6250 0.2500
0.8750 0.6671 0.7500

List of relative energies, unit meV per atom: arrangement 1 746; arrangement 2 0

Arrangement 1

NaP2SN | Alexandria | GGA-PBE | optimized geometry; SG = P4/mmm, No. 123; DOS(E_F) = 2.550 states/eV/cell
1.0
-0.0085 -0.1667 -3.9535
-3.9476 -0.2722 0.0200
-0.3514 5.0796 -0.2134
P N Na S
2 1 1 1
Direct
0.0000 0.5000 0.0000
0.5000 0.0000 0.0000
0.0000 0.0000 0.0000
0.5000 0.5000 0.5000
0.0000 0.0000 0.5000

Arrangement 2

NaP2SN | Alexandria | GGA-PBE | optimized geometry; SG = P4/mmm, No. 123; DOS(E_F) = 3.280 states/eV/cell
1.0
-3.3453 3.1356 -1.9903
-2.6795 -0.1828 4.2156
2.5233 3.8151 1.7692
P Na S N
2 1 1 1
Direct
0.0000 0.5000 0.0000
0.5000 0.0000 0.0000
0.0000 0.0000 0.0000
0.0000 0.0000 0.5000
0.5000 0.5000 0.5000

List of relative energies, unit meV per atom: arrangement 1 0; arrangement 2 1557

Arrangement 1

NaPSe2N | Alexandria | GGA-PBE | optimized geometry; SG = P4/mmm, No. 123; DOS(E_F) = 2.072 states/eV/cell
1.0
5.3018 0.0000 0.0000
0.0000 5.3018 0.0000
0.0000 0.0000 3.2175
P N Se Na
1 1 2 1
Direct
0.0000 0.0000 0.0000
0.0000 0.0000 0.5000
0.5000 0.0000 0.0000
0.0000 0.5000 0.0000
0.5000 0.5000 0.5000

Arrangement 2

NaPSe2N | Alexandria | GGA-PBE | optimized geometry; SG = P4/mmm, No. 123; DOS(E_F) = 3.766 states/eV/cell
1.0
5.1734 0.0000 0.0000
0.0000 5.1734 0.0000
0.0000 0.0000 4.1734
N Se Na P
1 2 1 1
Direct
0.0000 0.0000 0.5000
0.5000 0.0000 0.0000
0.0000 0.5000 0.0000
0.0000 0.0000 0.0000
0.5000 0.5000 0.5000

List of relative energies, unit meV per atom: arrangement 1 0; arrangement 2 1478

Arrangement 1

NaTe2PN | Alexandria | GGA-PBE | optimized geometry; SG = P4/mmm, No. 123; DOS(E_F) = 3.802 states/eV/cell
1.0
-0.3283 -0.0249 5.5156
-5.4979 -0.4404 -0.3293
0.3348 -4.1795 0.0011
Na N Te P
1 1 2 1
Direct
0.0000 0.0000 0.0000
0.0000 0.0000 0.5000
0.5000 0.0000 0.0000
0.0000 0.5000 0.0000
0.5000 0.5000 0.5000

Arrangement 2

NaTe2PN | Alexandria | GGA-PBE | optimized geometry; SG = P4/mmm, No. 123; DOS(E_F) = 3.157 states/eV/cell
1.0
-4.7820 -2.7612 2.0151
3.3403 -3.0384 3.7635
-0.4020 2.3284 2.2365
Na N P Te
1 1 1 2
Direct
0.5000 0.5000 0.5000
0.0000 0.0000 0.5000
0.0000 0.0000 0.0000
0.5000 0.0000 0.0000
0.0000 0.5000 0.0000

List of relative energies, unit meV per atom: arrangement 1 1381; arrangement 2 0